Density functional theory data (PBE) for crystalline Na2SiF at its relaxed geometry.

Computed properties:
The value obtained for the volume is 345.8 Å³ per cell. The calculation puts the formation energy (no corrections) at -0.836 eV/atom. The offset from the most stable computed form comes out at 0 meV per atom. For the size of the total moment, the calculation gives 0.0000 μB per atom.

a = 6.5676 Å, b = 6.5676 Å, c = 8.0167 Å
α = 90.00°, β = 90.00°, γ = 90.00°
Last column: nearest neighbours and their distance in Å.
Space group I-42d (No. 122)
Inequivalent atoms, fractional coordinates:
Na1 0.1437 0.2500 0.1250 [8 per cell]  2 F 2.14
Si1 0.0000 0.0000 0.5000 [4 per cell]  4 Na 3.03
F1 0.0000 0.0000 0.0000 [4 per cell]  4 Na 2.14

***

Density functional theory data (PBE) for crystalline InHOs3 at its relaxed geometry.

Computed properties:
The value obtained for the volume is 121.1 Å³ per cell. The offset from the most stable computed form comes out at 2948 meV per atom. For the size of the total moment, the calculation gives 1.1969 μB per atom.

a = 4.9480 Å, b = 4.9480 Å, c = 4.9480 Å
α = 90.00°, β = 90.00°, γ = 90.00°
Last column: nearest neighbours and their distance in Å.
Space group Pm-3m (No. 221)
Inequivalent atoms, fractional coordinates:
In1 0.0000 0.0000 0.0000 [1 per cell]  6 Os 2.47
H1 0.5000 0.5000 0.5000 [1 per cell]  12 Os 3.50
Os1 0.0000 0.0000 0.5000 [3 per cell]  2 In 2.47

***

Density functional theory data (PBE) for crystalline HgAsBr2 at its relaxed geometry.

Computed properties:
The value obtained for the volume is 246.8 Å³ per cell. The calculation puts the formation energy (no corrections) at 0.244 eV/atom. The offset from the most stable computed form comes out at 369 meV per atom. For the size of the total moment, the calculation gives 0.2549 μB per atom.

a = 4.0856 Å, b = 4.0856 Å, c = 14.7866 Å
α = 90.00°, β = 90.00°, γ = 90.00°
Last column: nearest neighbours and their distance in Å.
Space group I-4m2 (No. 119)
Inequivalent atoms, fractional coordinates:
Hg1 0.0000 0.0000 0.0000 [2 per cell]  4 Br 2.89
As1 0.0000 0.5000 0.7500 [2 per cell]  4 Br 2.89
Br1 0.0000 0.0000 0.5000 [2 per cell]  4 Hg 2.89
Br2 0.0000 0.5000 0.2500 [2 per cell]  4 As 2.89